(1)
{"formula": "HfIn2S2", "functional": "GGA-PBE", "state": "optimized geometry", "mass_density_g_cm3": 7.05, "e_above_lowest_polymorph_ev_per_atom": 0.000, "final_energy_ev_per_atom": -4.59, "dos_ef_per_ev_cell": 3.1, "cell": [[7.705, 0.000, 0.000], [0.000, 7.705, 0.000], [0.000, 0.000, 3.747]], "species": ["S", "S", "S", "S", "Hf", "Hf", "In", "In", "In", "In"], "frac_coords": [[0.198, 0.698, 0.500], [0.698, 0.802, 0.500], [0.802, 0.302, 0.500], [0.302, 0.198, 0.500], [0.000, 0.000, 0.000], [0.500, 0.500, 0.000], [0.371, 0.871, 0.000], [0.871, 0.629, 0.000], [0.629, 0.129, 0.000], [0.129, 0.371, 0.000]]}

(2)
{"formula": "HfInS2", "functional": "GGA-PBE", "state": "optimized geometry", "mass_density_g_cm3": 5.97, "final_energy_ev_per_atom": -6.38, "dos_ef_per_ev_cell": 1.8, "cell": [[2.059, 0.000, 9.032], [-1.029, 1.783, 9.032], [-1.029, -1.783, 9.032]], "species": ["S", "S", "Hf", "In"], "frac_coords": [[0.889, 0.889, 0.889], [0.111, 0.111, 0.111], [0.500, 0.500, 0.500], [0.000, 0.000, 0.000]]}

| no. | spin magnetization (Bohr magnetons per cell) |
| --- | --- |
| 1 | 0.0 |
| 2 | 0.0 |